1.
The following is a GGA-PBEsol calculation of a relaxed ZnTe2Pt crystal, from Alexandria.

The structure in CIF format:
```
data_ZnTe2Pt
_chemical_formula_sum 'Zn4 Te8 Pt4'
_space_group_name_H-M_alt 'F -4 3 m'
_space_group_IT_number 216
_space_group_name_Hall 'F -4 2 3'
_cell_length_a 6.899
_cell_length_b 6.899
_cell_length_c 6.899
_cell_angle_alpha 90.00
_cell_angle_beta 90.00
_cell_angle_gamma 90.00
loop_
_atom_site_label
_atom_site_fract_x
_atom_site_fract_y
_atom_site_fract_z
Zn1 0.000 0.000 0.000
Te1 0.000 0.000 0.500
Te2 0.250 0.250 0.750
Pt1 0.250 0.250 0.250
```

Summary:
density of states at the Fermi level: 0.69 states/eV/atom
final energy: -3.5246 eV/atom
ΔE_f (raw): 0.3748 eV per atom



2.
The following is a GGA-PBEsol calculation of a relaxed ZrMnCd crystal, from Alexandria.

The structure in CIF format:
```
data_ZrMnCd
_chemical_formula_sum 'Zr2 Mn2 Cd2'
_space_group_name_H-M_alt 'I m m 2'
_space_group_IT_number 44
_cell_length_a 3.121
_cell_length_b 3.560
_cell_length_c 9.680
_cell_angle_alpha 90.00
_cell_angle_beta 90.00
_cell_angle_gamma 90.00
loop_
_space_group_symop_operation_xyz
'x,y,z'
'-x,-y,z'
'-x,y,z'
'x,-y,z'
'x+1/2,y+1/2,z+1/2'
'-x+1/2,-y+1/2,z+1/2'
'-x+1/2,y+1/2,z+1/2'
'x+1/2,-y+1/2,z+1/2'
loop_
_atom_site_label
_atom_site_fract_x
_atom_site_fract_y
_atom_site_fract_z
Zr1 0.000 0.000 0.000
Mn1 0.000 0.000 0.648
Cd1 0.000 0.000 0.306
```

Summary:
density of states at the Fermi level: 0.78 states/eV/atom
final energy: -6.5544 eV/atom
E_form: 0.13 eV per atom



3.
The following is a GGA-PBEsol calculation of a relaxed ScInMo crystal, from Alexandria.

The structure in CIF format:
```
data_ScInMo
_chemical_formula_sum 'Sc4 In4 Mo4'
_space_group_name_H-M_alt 'F -4 3 m'
_space_group_IT_number 216
_space_group_name_Hall 'F -4 2 3'
_cell_length_a 6.487
_cell_length_b 6.487
_cell_length_c 6.487
_cell_angle_alpha 90.00
_cell_angle_beta 90.00
_cell_angle_gamma 90.00
loop_
_atom_site_label
_atom_site_fract_x
_atom_site_fract_y
_atom_site_fract_z
Sc1 0.000 0.000 0.000
In1 0.000 0.000 0.500
Mo1 0.250 0.250 0.750
```

Summary:
density of states at the Fermi level: 1.41 states/eV/atom
final energy: -6.4209 eV/atom
E_form: 0.70 eV per atom